Entry 1:
Sr2Li3Tl: relaxed, GGA-PBE.

```
6
Lattice="-6.031 1.615 -0.598 2.204 -5.002 -3.076 1.997 -2.414 5.537" Properties=species:S:1:pos:R:3 pbc="T T T"
Sr -3.441 -0.959 -0.923
Sr 1.611 -4.842 2.786
Li -0.915 -2.900 0.931
Li 0.998 -1.207 2.768
Li -2.017 -0.399 2.469
Tl 0.000 0.000 0.000
```

E_tot	-12.36	eV/f.u.
DFT formation energy	-85	kJ/mol of formula units

Entry 2:
Sm2Pd3Au: relaxed, GGA-PBE.

```
12
Lattice="-5.678 -1.362 -1.308 2.241 -4.745 2.874 -0.529 6.027 5.877" Properties=species:S:1:pos:R:3 pbc="T T T"
Sm -0.004 -0.886 4.767
Sm -2.582 -4.588 1.177
Sm -3.963 0.805 2.676
Sm -0.855 -1.520 0.390
Pd -0.141 -3.379 2.977
Pd 0.109 1.617 6.544
Pd -3.825 3.298 4.466
Pd -4.076 -1.698 0.899
Pd -0.708 0.936 2.098
Pd -3.258 -1.017 5.346
Au -2.472 -2.057 3.017
Au -1.494 1.976 4.427
```

E_tot	-32.64	eV/f.u.
relative energy among the computed polymorphs	64	meV/atom
DFT formation energy	-419	kJ/mol of formula units

Entry 3:
Ce2GePb: relaxed, GGA-PBE.

```
4
Lattice="-2.657 -0.713 3.241 0.730 -3.058 -2.861 7.409 -1.081 3.049" Properties=species:S:1:pos:R:3 pbc="T T T"
Ce 4.587 -2.009 3.319
Ce 0.896 -2.843 0.110
Ge 0.001 0.000 0.001
Pb 1.413 -2.782 3.334
```

E_tot	-22.06	eV/f.u.
DFT formation energy	-180	kJ/mol of formula units

Entry 4:
Ta2TiZn: relaxed, GGA-PBE.

```
8
Lattice="7.334 0.000 0.000 0.000 7.334 0.000 3.667 3.667 2.681" Properties=species:S:1:pos:R:3 pbc="T T T"
Zn 0.000 0.000 0.000
Zn 7.334 3.667 1.341
Ti 3.667 3.667 0.000
Ti 3.667 7.334 1.341
Ta 5.613 1.834 0.670
Ta 1.722 5.501 0.670
Ta 5.501 5.389 2.011
Ta 9.168 9.280 2.011
```

E_tot	-30.70	eV/f.u.
DFT formation energy	210	kJ/mol of formula units